Material: NbB4Mo3
Method: DFT, GGA-PBEsol
State: relaxed

Cell: 6.1690 4.5484 4.5484 Å, 40.85 90.00 90.00°
Closest atoms and distances in Å follow each position.
Fractional positions:
Nb: 0.0000 0.0000 0.0000  7 B 2.35-2.50
B: 0.0000 0.2927 0.2927  2 B 1.86
B: 0.2528 0.4116 0.4116  2 B 1.83-1.86
B: 0.5000 0.2922 0.2922  2 B 1.83
B: 0.7472 0.4116 0.4116  2 B 1.83-1.86
Mo: 0.2543 0.7086 0.7086  7 B 2.31-2.53
Mo: 0.5000 0.9976 0.9976  7 B 2.32-2.51
Mo: 0.7457 0.7086 0.7086  7 B 2.31-2.53

Summary:
Its calculated formation energy is -0.6338 eV/atom. The density of states at the Fermi level comes out at 3.08 states/eV/f.u. As for the magnetization: 0.00 μB/cell. The crystal system is orthorhombic.